(1)
# HoCuAg4

Crystalline HoCuAg4 at its relaxed geometry (GGA-PBE, OQMD via LeMat-Bulk).

* symmetry: F-43m
* energy relative to the elements: -0.28 eV/f.u.
* calculated total energy: -19.872 eV/cell

Lattice parameters (Å, degrees): 5.499 5.499 5.499 60.00 60.00 60.00
Positions (direct):
Ag  0.625  0.625  0.124
Ag  0.625  0.124  0.625
Ag  0.124  0.625  0.625
Ag  0.625  0.625  0.625
Cu  0.000  0.000  0.000
Ho  0.250  0.250  0.250

(2)
# HoCuAg

Crystalline HoCuAg at its relaxed geometry (GGA-PBE, OQMD via LeMat-Bulk).

* symmetry: F-43m
* energy relative to the elements: 0.75 eV/f.u.
* calculated total energy: -10.367 eV/cell

Lattice parameters (Å, degrees): 4.653 4.653 4.653 60.00 60.00 60.00
Positions (direct):
Ag  0.750  0.750  0.750
Cu  0.250  0.250  0.250
Ho  0.000  0.000  0.000

(3)
# Ho3In3Cu2Ag

Crystalline Ho3In3Cu2Ag at its relaxed geometry (GGA-PBE, OQMD via LeMat-Bulk).

* symmetry: P-62m
* calculated total energy: -35.829 eV/cell

Lattice parameters (Å, degrees): 7.591 7.591 3.921 90.00 90.00 120.00
Positions (direct):
Ag  0.000  0.000  0.000
Cu  0.667  0.333  0.500
Cu  0.333  0.667  0.500
Ho  0.590  0.000  0.000
Ho  0.410  0.410  0.000
Ho  0.000  0.590  0.000
In  0.269  0.000  0.500
In  0.000  0.269  0.500
In  0.731  0.731  0.500

(4)
# La2HoIn3CuAg2

Crystalline La2HoIn3CuAg2 at its relaxed geometry (GGA-PBE, OQMD via LeMat-Bulk).

* symmetry: Amm2
* calculated total energy: -35.822 eV/cell

Lattice parameters (Å, degrees): 4.088 7.930 7.930 120.00 90.00 90.00
Positions (direct):
Ag  0.500  0.657  0.338
Ag  0.500  0.338  0.657
Cu  0.000  0.005  0.005
Ho  0.000  0.398  0.398
In  0.500  0.247  0.006
In  0.500  0.006  0.247
In  0.500  0.753  0.753
La  0.000  0.595  0.000
La  0.000  0.000  0.595

(5)
# HoLu2In3CuAg2

Crystalline HoLu2In3CuAg2 at its relaxed geometry (GGA-PBE, OQMD via LeMat-Bulk).

* symmetry: Amm2
* calculated total energy: -34.917 eV/cell

Lattice parameters (Å, degrees): 3.812 7.751 7.751 120.13 90.00 90.00
Positions (direct):
Ag  0.500  0.669  0.332
Ag  0.500  0.332  0.669
Cu  0.000  0.999  0.999
Ho  0.000  0.400  0.400
In  0.500  0.000  0.253
In  0.500  0.745  0.745
In  0.500  0.253  0.000
Lu  0.000  0.601  0.000
Lu  0.000  0.000  0.601

(6)
# TbHo2In3CuAg2

Crystalline TbHo2In3CuAg2 at its relaxed geometry (GGA-PBE, OQMD via LeMat-Bulk).

* symmetry: Amm2
* calculated total energy: -35.260 eV/cell

Lattice parameters (Å, degrees): 3.871 7.794 7.794 120.10 90.00 90.00
Positions (direct):
Ag  0.500  0.668  0.333
Ag  0.500  0.333  0.668
Cu  0.000  0.999  0.999
Ho  0.000  0.598  0.000
Ho  0.000  0.000  0.598
In  0.500  0.999  0.251
In  0.500  0.749  0.749
In  0.500  0.251  0.999
Tb  0.000  0.402  0.402

> Which of these has the highest calculated total energy?

HoCuAg